TaCu2Sn: optimized geometry, PBE-GGA.

Output
Electronic total energy, eV per cell: -88.77
Formation energy, eV/atom: 0.46

Unit cell a=7.0954 b=7.0954 c=5.5818 alpha=90.00 beta=90.00 gamma=90.00
Space group I-42d (No. 122)
Inequivalent atoms, fractional coordinates:
Ta (0.0000, 0.0000, 0.0000)
Cu (0.2502, 0.2500, 0.1250)
Sn (0.0000, 0.0000, 0.5000)